Entry from the Alexandria database: a geometry-optimized SrGa2Si2 structure (PBE-GGA).

raw total energy	-3.92	eV per atom

Cell and atoms, written as extended XYZ:
```
5
Lattice="4.6099 0.0000 0.0000 0.0000 4.6099 0.0000 2.3049 2.3049 4.9244" Properties=species:S:1:pos:R:3 pbc="T T T"
Sr 0.0000 0.0000 0.0000
Si 4.6099 2.3049 2.4622
Si 2.3049 4.6099 2.4622
Ga 2.3049 2.3049 1.2753
Ga 4.6099 4.6099 3.6492
```